# MgSb2Pt7

Crystalline MgSb2Pt7 at its relaxed geometry (PBE, the Alexandria database).

abc: 3.980 3.980 22.873
angles: 90.00 90.00 90.00
Space group I4/mmm (No. 139)
Inequivalent atoms, fractional coordinates:
Mg (0.000, 0.000, 0.000) (multiplicity 2)
Sb (0.000, 0.000, 0.332) (multiplicity 4)
Pt (0.000, 0.000, 0.500) (multiplicity 2)
Pt (0.000, 0.500, 0.087) (multiplicity 8)
Pt (0.000, 0.500, 0.250) (multiplicity 4)

Summary:
For the raw total energy, the calculation gives -113.00 eV/cell.

***

# Mg2SbPt9

Crystalline Mg2SbPt9 at its relaxed geometry (PBE, the Alexandria database).

abc: 3.991 3.991 12.060
angles: 90.00 90.00 90.00
Space group P4/mmm (No. 123)
Inequivalent atoms, fractional coordinates:
Mg (0.000, 0.000, 0.160) (multiplicity 2)
Sb (0.000, 0.000, 0.500) (multiplicity 1)
Pt (0.000, 0.500, 0.000) (multiplicity 2)
Pt (0.000, 0.500, 0.325) (multiplicity 4)
Pt (0.500, 0.500, 0.163) (multiplicity 2)
Pt (0.500, 0.500, 0.500) (multiplicity 1)

Summary:
For the raw total energy, the calculation gives -67.60 eV/cell.

***

# Mg2SbPt

Crystalline Mg2SbPt at its relaxed geometry (PBE, the Alexandria database).

abc: 7.727 7.727 5.827
angles: 90.00 90.00 90.00
Space group I-42d (No. 122)
Inequivalent atoms, fractional coordinates:
Mg (0.208, 0.250, 0.125) (multiplicity 8)
Sb (0.000, 0.000, 0.500) (multiplicity 4)
Pt (0.000, 0.000, 0.000) (multiplicity 4)

Summary:
For the raw total energy, the calculation gives -57.48 eV/cell.

***

# Mg2SbPt

Crystalline Mg2SbPt at its relaxed geometry (PBE, the Alexandria database).

abc: 4.356 4.356 4.029
angles: 90.00 90.00 90.00
Space group P4/mmm (No. 123)
Inequivalent atoms, fractional coordinates:
Mg (0.000, 0.500, 0.000) (multiplicity 2)
Sb (0.000, 0.000, 0.500) (multiplicity 1)
Pt (0.500, 0.500, 0.500) (multiplicity 1)

Summary:
For the raw total energy, the calculation gives -15.25 eV/cell.

***

# Mg4SbPt15

Crystalline Mg4SbPt15 at its relaxed geometry (PBE, the Alexandria database).

abc: 3.971 3.971 20.078
angles: 90.00 90.00 90.00
Space group P4/mmm (No. 123)
Inequivalent atoms, fractional coordinates:
Mg (0.000, 0.000, 0.099) (multiplicity 2)
Mg (0.000, 0.000, 0.295) (multiplicity 2)
Sb (0.000, 0.000, 0.500) (multiplicity 1)
Pt (0.000, 0.500, 0.000) (multiplicity 2)
Pt (0.000, 0.500, 0.197) (multiplicity 4)
Pt (0.000, 0.500, 0.394) (multiplicity 4)
Pt (0.500, 0.500, 0.099) (multiplicity 2)
Pt (0.500, 0.500, 0.296) (multiplicity 2)
Pt (0.500, 0.500, 0.500) (multiplicity 1)

Summary:
For the raw total energy, the calculation gives -111.76 eV/cell.

***

# Mg2SbPt2

Crystalline Mg2SbPt2 at its relaxed geometry (PBE, the Alexandria database).

abc: 7.720 7.720 3.059
angles: 90.00 90.00 90.00
Space group P4/mbm (No. 127)
Inequivalent atoms, fractional coordinates:
Mg (0.144, 0.356, 0.000) (multiplicity 4)
Sb (0.000, 0.000, 0.500) (multiplicity 2)
Pt (0.152, 0.652, 0.500) (multiplicity 4)

Summary:
For the raw total energy, the calculation gives -45.15 eV/cell. For the energy relative to the lowest polymorph listed for this composition, the calculation gives 0.000 eV per atom.

***

# Mg2SbPt2

Crystalline Mg2SbPt2 at its relaxed geometry (PBE, the Alexandria database).

abc: 3.953 3.953 12.550
angles: 90.00 90.00 90.00
Space group I4/mmm (No. 139)
Inequivalent atoms, fractional coordinates:
Mg (0.000, 0.500, 0.250) (multiplicity 4)
Sb (0.000, 0.000, 0.000) (multiplicity 2)
Pt (0.000, 0.000, 0.393) (multiplicity 4)

Summary:
For the raw total energy, the calculation gives -42.64 eV/cell. For the energy relative to the lowest polymorph listed for this composition, the calculation gives 0.252 eV per atom.

***

# Mg3SbPt

Crystalline Mg3SbPt at its relaxed geometry (PBE, the Alexandria database).

abc: 4.993 4.993 4.993
angles: 90.00 90.00 90.00
Space group Pm-3m (No. 221)
Inequivalent atoms, fractional coordinates:
Mg (0.000, 0.000, 0.500) (multiplicity 3)
Sb (0.500, 0.500, 0.500) (multiplicity 1)
Pt (0.000, 0.000, 0.000) (multiplicity 1)

Summary:
For the raw total energy, the calculation gives -16.37 eV/cell. For the energy relative to the lowest polymorph listed for this composition, the calculation gives 0.000 eV per atom.